Below is SmHoTePb after structural relaxation, with properties calculated at the PBE-GGA level.

Results
SG: R3m, No. 160
Total DFT energy (no corrections): -20.0 eV per cell

Geometry as extended XYZ:
```
4
Lattice="2.226 1.285 7.273 -2.226 1.285 7.273 0.000 -2.570 7.273" Properties=species:S:1:pos:R:3 pbc="T T T"
Sm 0.000 0.000 0.000
Ho 0.000 0.000 10.779
Te 0.000 0.000 5.335
Pb 0.000 0.000 16.346
```

Below is SmHoTlPb after structural relaxation, with properties calculated at the PBE-GGA level.

Results
SG: I-4m2, No. 119
E_form: -0.407 eV/atom

Geometry as extended XYZ:
```
4
Lattice="-2.520 2.520 4.441 2.520 -2.520 4.441 2.520 2.520 -4.441" Properties=species:S:1:pos:R:3 pbc="T T T"
Sm 0.000 0.000 0.000
Ho 0.000 0.000 4.441
Tl 2.520 0.000 2.221
Pb 0.000 2.520 2.221
```

Below is SmHoTlPb after structural relaxation, with properties calculated at the PBE-GGA level.

Results
SG: F-43m, No. 216
E_form: -0.371 eV/atom

Geometry as extended XYZ:
```
4
Lattice="0.000 3.849 3.849 3.849 0.000 3.849 3.849 3.849 0.000" Properties=species:S:1:pos:R:3 pbc="T T T"
Sm 0.000 0.000 0.000
Ho 3.849 3.849 3.849
Tl 1.924 1.924 1.924
Pb 5.773 5.773 5.773
```

Below is Sm2Ho6Tm3Pb after structural relaxation, with properties calculated at the PBE-GGA level.

Results
SG: C2/m, No. 12
E_form: -0.059 eV/atom

Geometry as extended XYZ:
```
12
Lattice="3.029 -5.248 0.000 3.029 5.248 0.000 -2.025 0.000 11.497" Properties=species:S:1:pos:R:3 pbc="T T T"
Sm 3.029 3.505 0.000
Sm 3.029 -3.505 0.000
Ho 0.014 1.723 8.604
Ho 1.036 0.000 2.906
Ho 0.014 -1.723 8.604
Ho 4.018 1.723 2.893
Ho 2.997 0.000 8.591
Ho 4.018 -1.723 2.893
Tm -1.013 0.000 5.748
Tm 2.016 1.756 5.748
Tm 2.016 -1.756 5.748
Pb 3.029 0.000 0.000
```

Below is SmHoZnPb after structural relaxation, with properties calculated at the PBE-GGA level.

Results
SG: F-43m, No. 216
E_form: -0.374 eV/atom

Geometry as extended XYZ:
```
4
Lattice="0.000 3.734 3.734 3.734 0.000 3.734 3.734 3.734 0.000" Properties=species:S:1:pos:R:3 pbc="T T T"
Sm 0.000 0.000 0.000
Ho 3.734 3.734 3.734
Zn 5.601 5.601 5.601
Pb 1.867 1.867 1.867
```

Below is Ho3SnPb3 after structural relaxation, with properties calculated at the PBE-GGA level.

Results
SG: P6_3/m, No. 176
E_form: -0.308 eV/atom

Geometry as extended XYZ:
```
14
Lattice="8.927 0.000 0.000 -4.464 7.731 0.000 0.000 0.000 5.722" Properties=species:S:1:pos:R:3 pbc="T T T"
Ho -1.203 3.498 1.431
Ho -0.833 7.024 1.431
Ho 2.428 2.791 4.292
Ho 2.036 4.940 1.431
Ho 5.296 0.707 4.292
Ho 5.666 4.233 4.292
Sn 0.000 5.154 4.292
Sn 4.464 2.577 1.431
Pb -0.671 1.966 4.292
Pb -2.426 7.329 4.292
Pb 1.367 1.563 1.431
Pb 3.097 6.168 4.292
Pb 6.890 0.402 1.431
Pb 5.134 5.766 1.431
```

Q: What is the formula in the sixth record?
A: Ho3SnPb3